A geometry-optimized CoIrBr2 structure. Source: Alexandria via LeMat-Bulk, functional PBE.

Cell lengths 8.460, 8.460, 8.460 Å; angles 24.54, 24.54, 24.54 degrees
Atoms (fractional coordinates):
Co1 0.000 0.000 0.000
Ir1 0.284 0.284 0.284
Br1 0.551 0.551 0.551
Br2 0.728 0.728 0.728

Summary:
The calculation puts the uncorrected formation energy at 253 meV per atom. Its mass density is 7.43 g/cm3. The crystal system is trigonal. The value obtained for the density of states at the Fermi level is 4.538 states/eV/f.u. Its energy above the most stable polymorph in this dataset is 2.5 meV per atom.